# K2FeMo (PBE-GGA, relaxed)
data_K2FeMo
_cell_length_a 3.186
_cell_length_b 3.468
_cell_length_c 10.451
_cell_angle_alpha 90.00
_cell_angle_beta 90.13
_cell_angle_gamma 90.00
_space_group_name_H-M_alt 'P 1 m 1'
_space_group_IT_number 6
_space_group_name_Hall 'P -2y'
loop_
_atom_site_label
_atom_site_type_symbol
_atom_site_fract_x
_atom_site_fract_y
_atom_site_fract_z
K1 K 0.000 0.000 0.000
K2 K 0.475 0.500 0.412
Fe1 Fe 0.998 0.000 0.679
Mo1 Mo 0.499 0.500 0.727
# crystal system	monoclinic
# E_form	0.8537	eV/atom
# relative energy among the computed polymorphs	0	meV per atom
# total magnetic moment	0.240	μB/atom